(one)
First-principles (GGA-PBE) data for RbZrAgTeSeS after structural relaxation, as listed in OQMD.

Cell and atoms, written as extended XYZ:
```
12
Lattice="8.8032 0.0000 0.0000 0.0000 4.0597 0.0000 -3.8900 0.0000 9.4586" Properties=species:S:1:pos:R:3 pbc="T T T"
Rb 1.1141 1.0149 1.9835
Rb 3.7992 3.0448 7.4751
Zr -0.9943 3.0448 6.1646
Zr 5.9076 1.0149 3.2940
Ag 0.2350 1.0149 8.4443
Ag 4.6783 3.0448 1.0142
Te 1.1499 1.0149 5.8503
Te 3.7633 3.0448 3.6083
Se -1.5363 3.0448 8.7916
Se 6.4496 1.0149 0.6670
S -1.2477 3.0448 3.5203
S 6.1609 1.0149 5.9383
```

Values from the calculation:
* magnetization: 0.00 μB/f.u.
* volume: 169 Å³/f.u.

=====

(two)
First-principles (GGA-PBE) data for RbZrAgTeSeS after structural relaxation, as listed in OQMD.

Cell and atoms, written as extended XYZ:
```
12
Lattice="9.1972 0.0000 0.0000 0.0000 4.1010 0.0000 -3.7817 0.0000 9.4942" Properties=species:S:1:pos:R:3 pbc="T T T"
Rb 1.0136 1.0252 2.7685
Rb 4.4019 3.0757 6.7257
Zr -0.4078 3.0757 7.8269
Zr 5.8234 1.0252 1.6673
Ag -1.5642 1.0252 5.7161
Ag 6.9797 3.0757 3.7781
Te 3.6801 3.0757 1.3725
Te 1.7355 1.0252 8.1217
Se -2.1742 1.0252 8.2650
Se 7.5898 3.0757 1.2292
S 0.0070 3.0757 5.3544
S 5.4086 1.0252 4.1398
```

Values from the calculation:
* magnetization: 0.00 μB/f.u.
* volume: 179 Å³/f.u.

=====

Which structure is most stable? (one), by 0.064 eV/atom over the runner-up.